#i
Na2NdHg3 | PBE | optimized geometry

Properties
- size of the total moment (μB/f.u.) = 0.00

CIF file:
```
data_Na2NdHg3
_space_group_name_H-M_alt 'C m m m'
_space_group_IT_number 65
_space_group_name_Hall '-C 2 2'
_cell_length_a 5.305
_cell_length_b 15.946
_cell_length_c 7.574
_cell_angle_alpha 90.00
_cell_angle_beta 90.00
_cell_angle_gamma 90.00
loop_
_atom_site_label
_atom_site_type_symbol
_atom_site_fract_x
_atom_site_fract_y
_atom_site_fract_z
_atom_site_occupancy
Na1 Na 0.000 0.000 0.000 1
Na2 Na 0.000 0.000 0.500 1
Na3 Na 0.000 0.333 0.000 1
Nd1 Nd 0.000 0.337 0.500 1
Hg1 Hg 0.000 0.169 0.254 1
Hg2 Hg 0.000 0.500 0.247 1
```

---

#ii
Na2NdHg3 | PBE | optimized geometry

Properties
- size of the total moment (μB/f.u.) = 0.00

CIF file:
```
data_Na2NdHg3
_space_group_name_H-M_alt 'P -3 m 1'
_space_group_IT_number 164
_space_group_name_Hall '-P 3 2"'
_cell_length_a 5.3166
_cell_length_b 5.3166
_cell_length_c 6.4508
_cell_angle_alpha 90.00
_cell_angle_beta 90.00
_cell_angle_gamma 120.00
loop_
_atom_site_label
_atom_site_type_symbol
_atom_site_fract_x
_atom_site_fract_y
_atom_site_fract_z
_atom_site_occupancy
Na1 Na 0.3333 0.6667 0.1460 1
Nd1 Nd 0.0000 0.0000 0.5000 1
Hg1 Hg 0.0000 0.0000 0.0000 1
Hg2 Hg 0.3333 0.6667 0.6461 1
```

---

#ii (25 meV/atom below the next structure)

---

#i
NaNi2Hg2 | PBE | optimized geometry

Properties
- size of the total moment (μB/f.u.) = 0.00

CIF file:
```
data_NaNi2Hg2
_space_group_name_H-M_alt 'I 4/m m m'
_space_group_IT_number 139
_space_group_name_Hall '-I 4 2'
_cell_length_a 3.720
_cell_length_b 3.720
_cell_length_c 13.573
_cell_angle_alpha 90.00
_cell_angle_beta 90.00
_cell_angle_gamma 90.00
loop_
_atom_site_label
_atom_site_type_symbol
_atom_site_fract_x
_atom_site_fract_y
_atom_site_fract_z
_atom_site_occupancy
Na1 Na 0.000 0.000 0.000 1
Ni1 Ni 0.000 0.500 0.250 1
Hg1 Hg 0.000 0.000 0.389 1
```

---

#ii
NaNi2Hg2 | PBE | optimized geometry

Properties
- size of the total moment (μB/f.u.) = 0.00

CIF file:
```
data_NaNi2Hg2
_space_group_name_H-M_alt 'P 4/m b m'
_space_group_IT_number 127
_space_group_name_Hall '-P 4 2ab'
_cell_length_a 7.706
_cell_length_b 7.706
_cell_length_c 2.964
_cell_angle_alpha 90.00
_cell_angle_beta 90.00
_cell_angle_gamma 90.00
loop_
_atom_site_label
_atom_site_type_symbol
_atom_site_fract_x
_atom_site_fract_y
_atom_site_fract_z
_atom_site_occupancy
Na1 Na 0.000 0.000 0.000 1
Ni1 Ni 0.113 0.387 0.000 1
Hg1 Hg 0.180 0.680 0.500 1
```

---

#iii
NaNi2Hg2 | PBE | optimized geometry

Properties
- size of the total moment (μB/f.u.) = 0.00

CIF file:
```
data_NaNi2Hg2
_space_group_name_H-M_alt 'I 4/m m m'
_space_group_IT_number 139
_space_group_name_Hall '-I 4 2'
_cell_length_a 4.801
_cell_length_b 4.801
_cell_length_c 8.742
_cell_angle_alpha 90.00
_cell_angle_beta 90.00
_cell_angle_gamma 90.00
loop_
_atom_site_label
_atom_site_type_symbol
_atom_site_fract_x
_atom_site_fract_y
_atom_site_fract_z
_atom_site_occupancy
Na1 Na 0.000 0.000 0.000 1
Ni1 Ni 0.000 0.000 0.371 1
Hg1 Hg 0.000 0.500 0.250 1
```

---

#ii (73 meV/atom below the next structure)

---

#i
NaTl2NiHg | PBE | optimized geometry

Properties
- size of the total moment (μB/f.u.) = 0.00

CIF file:
```
data_NaTl2NiHg
_space_group_name_H-M_alt 'P 4/m m m'
_space_group_IT_number 123
_space_group_name_Hall '-P 4 2'
_cell_length_a 5.092
_cell_length_b 5.092
_cell_length_c 5.172
_cell_angle_alpha 90.00
_cell_angle_beta 90.00
_cell_angle_gamma 90.00
loop_
_atom_site_label
_atom_site_type_symbol
_atom_site_fract_x
_atom_site_fract_y
_atom_site_fract_z
_atom_site_occupancy
Na1 Na 0.000 0.000 0.000 1
Tl1 Tl 0.000 0.500 0.500 1
Ni1 Ni 0.500 0.500 0.500 1
Hg1 Hg 0.500 0.500 0.000 1
```

---

#ii
NaTl2NiHg | PBE | optimized geometry

Properties
- size of the total moment (μB/f.u.) = 0.00

CIF file:
```
data_NaTl2NiHg
_space_group_name_H-M_alt 'P 4/m m m'
_space_group_IT_number 123
_space_group_name_Hall '-P 4 2'
_cell_length_a 5.048
_cell_length_b 5.048
_cell_length_c 5.515
_cell_angle_alpha 90.00
_cell_angle_beta 90.00
_cell_angle_gamma 90.00
loop_
_atom_site_label
_atom_site_type_symbol
_atom_site_fract_x
_atom_site_fract_y
_atom_site_fract_z
_atom_site_occupancy
Na1 Na 0.000 0.000 0.000 1
Tl1 Tl 0.000 0.500 0.500 1
Ni1 Ni 0.000 0.000 0.500 1
Hg1 Hg 0.500 0.500 0.000 1
```

---

#i (56 meV/atom below the next structure)

---

#i
Na4HgO | PBE | optimized geometry

Properties
- size of the total moment (μB/f.u.) = 0.17

CIF file:
```
data_Na4HgO
_space_group_name_H-M_alt 'P 4/m m m'
_space_group_IT_number 123
_space_group_name_Hall '-P 4 2'
_cell_length_a 4.192
_cell_length_b 4.192
_cell_length_c 7.716
_cell_angle_alpha 90.00
_cell_angle_beta 90.00
_cell_angle_gamma 90.00
loop_
_atom_site_label
_atom_site_type_symbol
_atom_site_fract_x
_atom_site_fract_y
_atom_site_fract_z
_atom_site_occupancy
Na1 Na 0.000 0.500 0.180 1
Hg1 Hg 0.000 0.000 0.500 1
O1 O 0.500 0.500 0.000 1
```

---

#ii
Na4HgO | PBE | optimized geometry

Properties
- size of the total moment (μB/f.u.) = 0.00

CIF file:
```
data_Na4HgO
_space_group_name_H-M_alt 'C 1 2/m 1'
_space_group_IT_number 12
_space_group_name_Hall '-C 2y'
_cell_length_a 16.845
_cell_length_b 6.716
_cell_length_c 5.772
_cell_angle_alpha 90.00
_cell_angle_beta 109.60
_cell_angle_gamma 90.00
loop_
_atom_site_label
_atom_site_type_symbol
_atom_site_fract_x
_atom_site_fract_y
_atom_site_fract_z
_atom_site_occupancy
Na1 Na 0.000 0.211 0.000 1
Na2 Na 0.111 0.237 0.640 1
Na3 Na 0.198 0.000 0.157 1
Hg1 Hg 0.185 0.500 0.230 1
O1 O 0.076 0.000 0.851 1
```

---

#ii (64 meV/atom below the next structure)

---

#i
Na2Hg2O3 | PBE | optimized geometry

Properties
- size of the total moment (μB/f.u.) = 0.00

CIF file:
```
data_Na2Hg2O3
_space_group_name_H-M_alt 'C 1 2/m 1'
_space_group_IT_number 12
_space_group_name_Hall '-C 2y'
_cell_length_a 11.352
_cell_length_b 3.467
_cell_length_c 6.021
_cell_angle_alpha 90.00
_cell_angle_beta 103.44
_cell_angle_gamma 90.00
loop_
_atom_site_label
_atom_site_type_symbol
_atom_site_fract_x
_atom_site_fract_y
_atom_site_fract_z
_atom_site_occupancy
Na1 Na 0.153 0.000 0.339 1
Hg1 Hg 0.120 0.500 0.874 1
O1 O 0.000 0.000 0.000 1
O2 O 0.216 0.000 0.734 1
```

---

#ii
Na2Hg2O3 | PBE | optimized geometry

Properties
- size of the total moment (μB/f.u.) = 0.00

CIF file:
```
data_Na2Hg2O3
_space_group_name_H-M_alt 'C 1 2/m 1'
_space_group_IT_number 12
_space_group_name_Hall '-C 2y'
_cell_length_a 11.533
_cell_length_b 3.580
_cell_length_c 5.805
_cell_angle_alpha 90.00
_cell_angle_beta 108.65
_cell_angle_gamma 90.00
loop_
_atom_site_label
_atom_site_type_symbol
_atom_site_fract_x
_atom_site_fract_y
_atom_site_fract_z
_atom_site_occupancy
Na1 Na 0.133 0.000 0.392 1
Hg1 Hg 0.123 0.500 0.857 1
O1 O 0.000 0.500 0.500 1
O2 O 0.219 0.500 0.222 1
```

---

#ii (62 meV/atom below the next structure)

---

#i
Na3HgO | PBE | optimized geometry

Properties
- size of the total moment (μB/f.u.) = 0.00

CIF file:
```
data_Na3HgO
_space_group_name_H-M_alt 'P m -3 m'
_space_group_IT_number 221
_space_group_name_Hall '-P 4 2 3'
_cell_length_a 4.727
_cell_length_b 4.727
_cell_length_c 4.727
_cell_angle_alpha 90.00
_cell_angle_beta 90.00
_cell_angle_gamma 90.00
loop_
_atom_site_label
_atom_site_type_symbol
_atom_site_fract_x
_atom_site_fract_y
_atom_site_fract_z
_atom_site_occupancy
Na1 Na 0.000 0.000 0.500 1
Hg1 Hg 0.500 0.500 0.500 1
O1 O 0.000 0.000 0.000 1
```

---

#ii
Na3HgO | PBE | optimized geometry

Properties
- size of the total moment (μB/f.u.) = 0.00

CIF file:
```
data_Na3HgO
_space_group_name_H-M_alt 'C 1 2/m 1'
_space_group_IT_number 12
_space_group_name_Hall '-C 2y'
_cell_length_a 11.720
_cell_length_b 4.501
_cell_length_c 9.466
_cell_angle_alpha 90.00
_cell_angle_beta 113.59
_cell_angle_gamma 90.00
loop_
_atom_site_label
_atom_site_type_symbol
_atom_site_fract_x
_atom_site_fract_y
_atom_site_fract_z
_atom_site_occupancy
Na1 Na 0.091 0.000 0.156 1
Na2 Na 0.102 0.000 0.685 1
Na3 Na 0.164 0.500 0.950 1
Hg1 Hg 0.156 0.500 0.467 1
O1 O 0.119 0.000 0.928 1
```

---

#ii (48 meV/atom below the next structure)

---

#i
Na2HgO | PBE | optimized geometry

Properties
- size of the total moment (μB/f.u.) = 0.00

CIF file:
```
data_Na2HgO
_space_group_name_H-M_alt 'F m -3 m'
_space_group_IT_number 225
_space_group_name_Hall '-F 4 2 3'
_cell_length_a 6.697
_cell_length_b 6.697
_cell_length_c 6.697
_cell_angle_alpha 90.00
_cell_angle_beta 90.00
_cell_angle_gamma 90.00
loop_
_atom_site_label
_atom_site_type_symbol
_atom_site_fract_x
_atom_site_fract_y
_atom_site_fract_z
_atom_site_occupancy
Na1 Na 0.250 0.250 0.250 1
Hg1 Hg 0.000 0.000 0.000 1
O1 O 0.000 0.000 0.500 1
```

---

#ii
Na2HgO | PBE | optimized geometry

Properties
- size of the total moment (μB/f.u.) = 0.07

CIF file:
```
data_Na2HgO
_space_group_name_H-M_alt 'R 3 m'
_space_group_IT_number 160
_space_group_name_Hall 'R 3 -2"'
_cell_length_a 3.6582
_cell_length_b 3.6582
_cell_length_c 22.2724
_cell_angle_alpha 90.00
_cell_angle_beta 90.00
_cell_angle_gamma 120.00
loop_
_atom_site_label
_atom_site_type_symbol
_atom_site_fract_x
_atom_site_fract_y
_atom_site_fract_z
_atom_site_occupancy
Na1 Na 0.0000 0.0000 0.0000 1
Na2 Na 0.0000 0.0000 0.2483 1
Hg1 Hg 0.0000 0.0000 0.7882 1
O1 O 0.0000 0.0000 0.6252 1
```

---

#ii (366 meV/atom below the next structure)

---

#i
Na2HgO | PBE | optimized geometry

Properties
- size of the total moment (μB/f.u.) = 0.00

CIF file:
```
data_Na2HgO
_space_group_name_H-M_alt 'I -4 2 d'
_space_group_IT_number 122
_space_group_name_Hall 'I -4 2bw'
_cell_length_a 6.989
_cell_length_b 6.989
_cell_length_c 9.862
_cell_angle_alpha 90.00
_cell_angle_beta 90.00
_cell_angle_gamma 90.00
loop_
_atom_site_label
_atom_site_type_symbol
_atom_site_fract_x
_atom_site_fract_y
_atom_site_fract_z
_atom_site_occupancy
Na1 Na 0.041 0.250 0.125 1
Hg1 Hg 0.000 0.000 0.500 1
O1 O 0.000 0.000 0.000 1
```

---

#ii
Na2HgO | PBE | optimized geometry

Properties
- size of the total moment (μB/f.u.) = 0.06

CIF file:
```
data_Na2HgO
_space_group_name_H-M_alt 'R -3 m'
_space_group_IT_number 166
_space_group_name_Hall '-R 3 2"'
_cell_length_a 3.6496
_cell_length_b 3.6496
_cell_length_c 22.5425
_cell_angle_alpha 90.00
_cell_angle_beta 90.00
_cell_angle_gamma 120.00
loop_
_atom_site_label
_atom_site_type_symbol
_atom_site_fract_x
_atom_site_fract_y
_atom_site_fract_z
_atom_site_occupancy
Na1 Na 0.0000 0.0000 0.2090 1
Hg1 Hg 0.0000 0.0000 0.0000 1
O1 O 0.0000 0.0000 0.5000 1
```

---

#ii (85 meV/atom below the next structure)

---

#i
Na3HgO3 | PBE | optimized geometry

Properties
- size of the total moment (μB/f.u.) = 1.02

CIF file:
```
data_Na3HgO3
_space_group_name_H-M_alt 'R 3 m'
_space_group_IT_number 160
_space_group_name_Hall 'R 3 -2"'
_cell_length_a 10.6818
_cell_length_b 10.6818
_cell_length_c 3.8214
_cell_angle_alpha 90.00
_cell_angle_beta 90.00
_cell_angle_gamma 120.00
loop_
_atom_site_label
_atom_site_type_symbol
_atom_site_fract_x
_atom_site_fract_y
_atom_site_fract_z
_atom_site_occupancy
Na1 Na 0.1799 0.3597 0.0000 1
Hg1 Hg 0.0000 0.0000 0.5522 1
O1 O 0.1057 0.5529 0.1635 1
```

---

#ii
Na3HgO3 | PBE | optimized geometry

Properties
- size of the total moment (μB/f.u.) = 1.02

CIF file:
```
data_Na3HgO3
_space_group_name_H-M_alt 'P 63/m'
_space_group_IT_number 176
_space_group_name_Hall '-P 6c'
_cell_length_a 7.7107
_cell_length_b 7.7107
_cell_length_c 4.7160
_cell_angle_alpha 90.00
_cell_angle_beta 90.00
_cell_angle_gamma 120.00
loop_
_atom_site_label
_atom_site_type_symbol
_atom_site_fract_x
_atom_site_fract_y
_atom_site_fract_z
_atom_site_occupancy
Na1 Na 0.0859 0.7663 0.2500 1
Hg1 Hg 0.3333 0.6667 0.7500 1
O1 O 0.0994 0.7383 0.7500 1
```

---

#ii (41 meV/atom below the next structure)

---

#i
NaHgP2O | PBE | optimized geometry

Properties
- size of the total moment (μB/f.u.) = 1.85

CIF file:
```
data_NaHgP2O
_space_group_name_H-M_alt 'P 4/m m m'
_space_group_IT_number 123
_space_group_name_Hall '-P 4 2'
_cell_length_a 5.108
_cell_length_b 5.108
_cell_length_c 4.352
_cell_angle_alpha 90.00
_cell_angle_beta 90.00
_cell_angle_gamma 90.00
loop_
_atom_site_label
_atom_site_type_symbol
_atom_site_fract_x
_atom_site_fract_y
_atom_site_fract_z
_atom_site_occupancy
Na1 Na 0.000 0.000 0.000 1
Hg1 Hg 0.500 0.500 0.500 1
P1 P 0.000 0.500 0.500 1
O1 O 0.500 0.500 0.000 1
```

---

#ii
NaHgP2O | PBE | optimized geometry

Properties
- size of the total moment (μB/f.u.) = 0.00

CIF file:
```
data_NaHgP2O
_space_group_name_H-M_alt 'P 4/m m m'
_space_group_IT_number 123
_space_group_name_Hall '-P 4 2'
_cell_length_a 5.039
_cell_length_b 5.039
_cell_length_c 3.970
_cell_angle_alpha 90.00
_cell_angle_beta 90.00
_cell_angle_gamma 90.00
loop_
_atom_site_label
_atom_site_type_symbol
_atom_site_fract_x
_atom_site_fract_y
_atom_site_fract_z
_atom_site_occupancy
Na1 Na 0.000 0.000 0.000 1
Hg1 Hg 0.500 0.500 0.500 1
P1 P 0.000 0.500 0.000 1
O1 O 0.000 0.000 0.500 1
```

---

#i (355 meV/atom below the next structure)

---

#i
NaHg2Os | PBE | optimized geometry

Properties
- size of the total moment (μB/f.u.) = 0.82

CIF file:
```
data_NaHg2Os
_space_group_name_H-M_alt 'I -4 2 d'
_space_group_IT_number 122
_space_group_name_Hall 'I -4 2bw'
_cell_length_a 4.672
_cell_length_b 4.672
_cell_length_c 18.267
_cell_angle_alpha 90.00
_cell_angle_beta 90.00
_cell_angle_gamma 90.00
loop_
_atom_site_label
_atom_site_type_symbol
_atom_site_fract_x
_atom_site_fract_y
_atom_site_fract_z
_atom_site_occupancy
Na1 Na 0.000 0.000 0.000 1
Hg1 Hg 0.192 0.250 0.625 1
Os1 Os 0.000 0.000 0.500 1
```

---

#ii
NaHg2Os | PBE | optimized geometry

Properties
- size of the total moment (μB/f.u.) = 0.00

CIF file:
```
data_NaHg2Os
_space_group_name_H-M_alt 'F m -3 m'
_space_group_IT_number 225
_space_group_name_Hall '-F 4 2 3'
_cell_length_a 6.741
_cell_length_b 6.741
_cell_length_c 6.741
_cell_angle_alpha 90.00
_cell_angle_beta 90.00
_cell_angle_gamma 90.00
loop_
_atom_site_label
_atom_site_type_symbol
_atom_site_fract_x
_atom_site_fract_y
_atom_site_fract_z
_atom_site_occupancy
Na1 Na 0.000 0.000 0.000 1
Hg1 Hg 0.250 0.250 0.250 1
Os1 Os 0.000 0.000 0.500 1
```

---

#ii (299 meV/atom below the next structure)

---

#i
NaHg2P2 | PBE | optimized geometry

Properties
- size of the total moment (μB/f.u.) = 0.00

CIF file:
```
data_NaHg2P2
_space_group_name_H-M_alt 'P 4/m b m'
_space_group_IT_number 127
_space_group_name_Hall '-P 4 2ab'
_cell_length_a 7.277
_cell_length_b 7.277
_cell_length_c 4.320
_cell_angle_alpha 90.00
_cell_angle_beta 90.00
_cell_angle_gamma 90.00
loop_
_atom_site_label
_atom_site_type_symbol
_atom_site_fract_x
_atom_site_fract_y
_atom_site_fract_z
_atom_site_occupancy
Na1 Na 0.000 0.000 0.000 1
Hg1 Hg 0.192 0.308 0.500 1
P1 P 0.103 0.603 0.000 1
```

---

#ii
NaHg2P2 | PBE | optimized geometry

Properties
- size of the total moment (μB/f.u.) = 0.00

CIF file:
```
data_NaHg2P2
_space_group_name_H-M_alt 'I 4/m m m'
_space_group_IT_number 139
_space_group_name_Hall '-I 4 2'
_cell_length_a 4.302
_cell_length_b 4.302
_cell_length_c 13.232
_cell_angle_alpha 90.00
_cell_angle_beta 90.00
_cell_angle_gamma 90.00
loop_
_atom_site_label
_atom_site_type_symbol
_atom_site_fract_x
_atom_site_fract_y
_atom_site_fract_z
_atom_site_occupancy
Na1 Na 0.000 0.000 0.000 1
Hg1 Hg 0.000 0.500 0.250 1
P1 P 0.000 0.000 0.423 1
```

---

#ii (104 meV/atom below the next structure)